<A>
DFT (GGA-PBE) results for Hf2AlH after structural relaxation.

Cell: 4.5613 4.5613 4.5613 Å, 60.00 60.00 60.00°
Atoms (fractional coordinates):
H (0.0000, 0.0000, 0.0000)
Hf (0.2500, 0.2500, 0.2500)
Hf (0.7500, 0.7500, 0.7500)
Al (0.5000, 0.5000, 0.5000)

Summary:
D(E_F)	0.789	states/eV/atom

***

<B>
DFT (GGA-PBE) results for Hf2AlH after structural relaxation.

Cell: 3.1388 3.1388 7.5768 Å, 78.05 78.05 60.00°
Atoms (fractional coordinates):
H (0.0000, 0.0000, 0.0000)
Hf (0.2731, 0.2731, 0.1808)
Hf (0.7269, 0.7269, 0.8192)
Al (0.5000, 0.5000, 0.5000)

Summary:
D(E_F)	0.825	states/eV/atom

***

<B> is preferred energetically. Next in line: 0.436 eV/atom higher.

***

<A>
DFT (GGA-PBE) results for HfAl2H after structural relaxation.

Cell: 5.4410 5.4410 5.4259 Å, 59.91 59.91 90.00°
Atoms (fractional coordinates):
H (0.5000, 0.5000, 0.0000)
H (0.2500, 0.7500, 0.5000)
Hf (0.0000, 0.0000, 0.0000)
Hf (0.7500, 0.2500, 0.5000)
Al (0.4006, 0.1250, 0.2500)
Al (0.3494, 0.6250, 0.2500)
Al (0.3750, 0.5994, 0.7500)
Al (0.8750, 0.6506, 0.7500)

Summary:
D(E_F)	0.076	states/eV/atom

***

<B>
DFT (GGA-PBE) results for HfAl2H after structural relaxation.

Cell: 4.5580 4.5580 4.5580 Å, 60.00 60.00 60.00°
Atoms (fractional coordinates):
H (0.0000, 0.0000, 0.0000)
Hf (0.5000, 0.5000, 0.5000)
Al (0.2500, 0.2500, 0.2500)
Al (0.7500, 0.7500, 0.7500)

Summary:
D(E_F)	0.893	states/eV/atom

***

<A> is preferred energetically. Next in line: 0.642 eV/atom higher.

***

<A>
DFT (GGA-PBE) results for HfTa2AlH after structural relaxation.

Cell: 4.0383 4.0383 4.6942 Å, 90.00 90.00 90.00°
Atoms (fractional coordinates):
H (0.0000, 0.0000, 0.0000)
Hf (0.5000, 0.5000, 0.5000)
Al (0.0000, 0.0000, 0.5000)
Ta (0.0000, 0.5000, 0.0000)
Ta (0.5000, 0.0000, 0.0000)

Summary:
D(E_F)	0.489	states/eV/atom

***

<B>
DFT (GGA-PBE) results for HfTa2AlH after structural relaxation.

Cell: 4.0743 4.0743 4.5720 Å, 90.00 90.00 90.00°
Atoms (fractional coordinates):
H (0.0000, 0.0000, 0.0000)
Hf (0.0000, 0.0000, 0.5000)
Al (0.5000, 0.5000, 0.5000)
Ta (0.0000, 0.5000, 0.0000)
Ta (0.5000, 0.0000, 0.0000)

Summary:
D(E_F)	0.682	states/eV/atom

***

<B> is preferred energetically. Next in line: 0.026 eV/atom higher.

***

<A>
DFT (GGA-PBE) results for Hf2TiAlH after structural relaxation.

Cell: 4.1682 4.1682 4.5568 Å, 90.00 90.00 90.00°
Atoms (fractional coordinates):
H (0.0000, 0.0000, 0.0000)
Hf (0.0000, 0.5000, 0.0000)
Hf (0.5000, 0.0000, 0.0000)
Al (0.0000, 0.0000, 0.5000)
Ti (0.5000, 0.5000, 0.5000)

Summary:
D(E_F)	1.227	states/eV/atom

***

<B>
DFT (GGA-PBE) results for Hf2TiAlH after structural relaxation.

Cell: 4.3259 4.3259 4.1506 Å, 90.00 90.00 90.00°
Atoms (fractional coordinates):
H (0.0000, 0.0000, 0.0000)
Hf (0.0000, 0.5000, 0.0000)
Hf (0.5000, 0.0000, 0.0000)
Al (0.5000, 0.5000, 0.5000)
Ti (0.0000, 0.0000, 0.5000)

Summary:
D(E_F)	0.520	states/eV/atom

***

<B> is preferred energetically. Next in line: 0.149 eV/atom higher.

***

<A>
DFT (GGA-PBE) results for HfTi2AlH after structural relaxation.

Cell: 4.0141 4.0141 4.5670 Å, 90.00 90.00 90.00°
Site moments in Bohr magnetons follow the coordinates.
Atoms (fractional coordinates):
H (0.0000, 0.0000, 0.0000)  0.00
Hf (0.5000, 0.5000, 0.5000)  0.03
Al (0.0000, 0.0000, 0.5000)  0.00
Ti (0.0000, 0.5000, 0.0000)  0.18
Ti (0.5000, 0.0000, 0.0000)  0.18

Summary:
D(E_F)	1.309	states/eV/atom

***

<B>
DFT (GGA-PBE) results for HfTi2AlH after structural relaxation.

Cell: 4.1401 4.1401 4.2332 Å, 90.00 90.00 90.00°
Atoms (fractional coordinates):
H (0.0000, 0.0000, 0.0000)
Hf (0.0000, 0.0000, 0.5000)
Al (0.5000, 0.5000, 0.5000)
Ti (0.0000, 0.5000, 0.0000)
Ti (0.5000, 0.0000, 0.0000)

Summary:
D(E_F)	0.573	states/eV/atom

***

<B> is preferred energetically. Next in line: 0.140 eV/atom higher.

***

<A>
DFT (GGA-PBE) results for Hf2ZrAlH after structural relaxation.

Cell: 4.3724 4.3724 4.3789 Å, 90.00 90.00 90.00°
Atoms (fractional coordinates):
H (0.0000, 0.0000, 0.0000)
Hf (0.0000, 0.5000, 0.0000)
Hf (0.5000, 0.0000, 0.0000)
Al (0.5000, 0.5000, 0.5000)
Zr (0.0000, 0.0000, 0.5000)

Summary:
D(E_F)	0.445	states/eV/atom

***

<B>
DFT (GGA-PBE) results for Hf2ZrAlH after structural relaxation.

Cell: 4.2176 4.2176 4.7828 Å, 90.00 90.00 90.00°
Atoms (fractional coordinates):
H (0.0000, 0.0000, 0.0000)
Hf (0.0000, 0.5000, 0.0000)
Hf (0.5000, 0.0000, 0.0000)
Al (0.0000, 0.0000, 0.5000)
Zr (0.5000, 0.5000, 0.5000)

Summary:
D(E_F)	1.209	states/eV/atom

***

<A> is preferred energetically. Next in line: 0.112 eV/atom higher.

***

<A>
DFT (GGA-PBE) results for Al3HgH after structural relaxation.

Cell: 5.1122 5.1122 5.1122 Å, 90.00 90.00 90.00°
Atoms (fractional coordinates):
H (0.5000, 0.5000, 0.5000)
Hg (0.0000, 0.0000, 0.0000)
Al (0.0000, 0.5000, 0.0000)
Al (0.0000, 0.0000, 0.5000)
Al (0.5000, 0.0000, 0.0000)

Summary:
D(E_F)	0.602	states/eV/atom

***

<B>
DFT (GGA-PBE) results for Al3HgH after structural relaxation.

Cell: 4.2472 4.2472 4.2472 Å, 90.00 90.00 90.00°
Atoms (fractional coordinates):
H (0.0000, 0.0000, 0.0000)
Hg (0.5000, 0.5000, 0.5000)
Al (0.0000, 0.5000, 0.0000)
Al (0.0000, 0.0000, 0.5000)
Al (0.5000, 0.0000, 0.0000)

Summary:
D(E_F)	0.362	states/eV/atom

***

<B> is preferred energetically. Next in line: 0.811 eV/atom higher.

***

<A>
DFT (GGA-PBE) results for Al2HgH after structural relaxation.

Cell: 4.4589 4.4589 4.4589 Å, 60.00 60.00 60.00°
Atoms (fractional coordinates):
H (0.0000, 0.0000, 0.0000)
Hg (0.5000, 0.5000, 0.5000)
Al (0.2500, 0.2500, 0.2500)
Al (0.7500, 0.7500, 0.7500)

Summary:
D(E_F)	0.454	states/eV/atom

***

<B>
DFT (GGA-PBE) results for Al2HgH after structural relaxation.

Cell: 4.8550 4.8550 6.7916 Å, 69.06 69.06 90.00°
Atoms (fractional coordinates):
H (0.5000, 0.5000, 0.0000)
H (0.2500, 0.7500, 0.5000)
Hg (0.0000, 0.0000, 0.0000)
Hg (0.7500, 0.2500, 0.5000)
Al (0.4729, 0.1250, 0.2500)
Al (0.2771, 0.6250, 0.2500)
Al (0.3750, 0.5271, 0.7500)
Al (0.8750, 0.7229, 0.7500)

Summary:
D(E_F)	0.140	states/eV/atom

***

<B> is preferred energetically. Next in line: 0.183 eV/atom higher.